i.
AgSb2Au | PBE | relaxed

Cell and atoms, written as extended XYZ:
```
4
Lattice="4.215 0.000 0.000 0.000 4.624 0.000 0.000 0.000 4.637" Properties=species:S:1:pos:R:3 pbc="T T T"
Ag 0.000 0.000 0.000
Sb 2.108 0.000 2.318
Sb 2.108 2.312 0.000
Au 0.000 2.312 2.318
```

## Properties
**Total moment**: 0.00 Bohr magnetons per cell
**DOS(E_F)**: 0.4076 states/eV/atom

---

ii.
AgSb2Au | PBE | relaxed

Cell and atoms, written as extended XYZ:
```
4
Lattice="3.328 0.000 0.000 0.000 3.328 0.000 0.000 0.000 8.356" Properties=species:S:1:pos:R:3 pbc="T T T"
Ag 0.000 0.000 0.000
Sb 0.000 0.000 3.538
Sb 1.664 1.664 6.462
Au 1.664 1.664 1.763
```

## Properties
**Total moment**: 0.00 Bohr magnetons per cell
**DOS(E_F)**: 0.1730 states/eV/atom

---

Which structure is the least stable? The one labeled i.

---

i.
AgSb2Au2 | PBE | relaxed

Cell and atoms, written as extended XYZ:
```
5
Lattice="-2.184 2.184 6.479 2.184 -2.184 6.479 2.184 2.184 -6.479" Properties=species:S:1:pos:R:3 pbc="T T T"
Ag 0.000 0.000 0.000
Sb 2.184 0.000 3.240
Sb 0.000 2.184 3.240
Au 0.000 0.000 5.165
Au 0.000 0.000 7.794
```

## Properties
**Total moment**: 0.00 Bohr magnetons per cell
**DOS(E_F)**: 0.4216 states/eV/atom

---

ii.
AgSb2Au2 | PBE | relaxed

Cell and atoms, written as extended XYZ:
```
10
Lattice="7.428 0.000 0.000 0.000 7.428 0.000 0.000 0.000 4.053" Properties=species:S:1:pos:R:3 pbc="T T T"
Ag 0.000 0.000 0.000
Ag 3.714 3.714 0.000
Sb 1.247 2.467 2.026
Sb 2.467 6.181 2.026
Sb 4.961 1.247 2.026
Sb 6.181 4.961 2.026
Au 1.029 4.743 0.000
Au 2.686 1.029 0.000
Au 4.743 6.400 0.000
Au 6.400 2.686 0.000
```

## Properties
**Total moment**: 0.00 Bohr magnetons per cell
**DOS(E_F)**: 0.4025 states/eV/atom

---

Which structure is the least stable? The one labeled i.

---

i.
AgSb2Au2 | PBE | relaxed

Cell and atoms, written as extended XYZ:
```
5
Lattice="-1.975 1.975 7.547 1.975 -1.975 7.547 1.975 1.975 -7.547" Properties=species:S:1:pos:R:3 pbc="T T T"
Ag 0.000 0.000 0.000
Sb 0.000 0.000 5.956
Sb 0.000 0.000 9.137
Au 1.975 0.000 3.773
Au 0.000 1.975 3.773
```

## Properties
**Total moment**: 0.00 Bohr magnetons per cell
**DOS(E_F)**: 0.4555 states/eV/atom

---

ii.
AgSb2Au2 | PBE | relaxed

Cell and atoms, written as extended XYZ:
```
10
Lattice="7.755 0.000 0.000 0.000 7.755 0.000 0.000 0.000 3.858" Properties=species:S:1:pos:R:3 pbc="T T T"
Ag 0.000 0.000 0.000
Ag 3.878 3.878 0.000
Sb 1.395 2.483 0.000
Sb 2.483 6.360 0.000
Sb 5.272 1.395 0.000
Sb 6.360 5.272 0.000
Au 1.004 4.882 1.929
Au 2.873 1.004 1.929
Au 4.882 6.751 1.929
Au 6.751 2.873 1.929
```

## Properties
**Total moment**: 0.00 Bohr magnetons per cell
**DOS(E_F)**: 0.3224 states/eV/atom

---

Which structure is the least stable? The one labeled i.

---

i.
AgSb4Au | PBE | relaxed

Cell and atoms, written as extended XYZ:
```
12
Lattice="6.807 0.000 0.000 0.000 6.798 0.000 -0.073 0.000 6.788" Properties=species:S:1:pos:R:3 pbc="T T T"
Ag 0.000 0.000 0.000
Ag -0.036 3.399 3.394
Sb 0.820 0.838 2.574
Sb 0.784 2.561 5.968
Sb 2.538 4.238 2.541
Sb 2.502 5.959 5.935
Sb 4.232 0.839 0.853
Sb 4.196 2.560 4.247
Sb 5.950 4.237 0.820
Sb 5.914 5.960 4.214
Au 3.367 0.000 3.394
Au 3.404 3.399 0.000
```

## Properties
**Total moment**: 0.00 Bohr magnetons per cell
**DOS(E_F)**: 0.6849 states/eV/atom

---

ii.
AgSb4Au | PBE | relaxed

Cell and atoms, written as extended XYZ:
```
6
Lattice="0.000 4.362 4.362 4.362 0.000 4.362 4.362 4.362 0.000" Properties=species:S:1:pos:R:3 pbc="T T T"
Ag 0.000 0.000 0.000
Sb 3.293 3.293 3.293
Sb 5.430 5.430 3.293
Sb 5.430 3.293 5.430
Sb 3.293 5.430 5.430
Au 6.542 6.542 6.542
```

## Properties
**Total moment**: 0.00 Bohr magnetons per cell
**DOS(E_F)**: 0.5879 states/eV/atom

---

Which structure is the least stable? The one labeled ii.

---

i.
Ag6SbAu | PBE | relaxed

Cell and atoms, written as extended XYZ:
```
8
Lattice="5.223 0.000 0.000 -0.581 5.411 0.000 -0.624 -0.290 5.522" Properties=species:S:1:pos:R:3 pbc="T T T"
Ag -0.298 2.427 1.408
Ag 0.708 5.127 0.362
Ag 1.699 3.899 2.941
Ag 2.320 1.223 2.581
Ag 3.310 -0.005 5.160
Ag 4.316 2.695 4.113
Sb 2.321 2.706 0.000
Au -0.312 -0.145 2.761
```

## Properties
**Total moment**: 0.00 Bohr magnetons per cell
**DOS(E_F)**: 0.2301 states/eV/atom

---

ii.
Ag6SbAu | PBE | relaxed

Cell and atoms, written as extended XYZ:
```
8
Lattice="4.224 -4.236 0.000 4.224 4.236 0.000 0.000 0.000 4.221" Properties=species:S:1:pos:R:3 pbc="T T T"
Ag 2.112 2.118 2.111
Ag 4.224 2.174 0.000
Ag 2.058 0.000 0.000
Ag 2.112 -2.118 2.111
Ag 6.389 0.000 0.000
Ag 4.224 -2.174 0.000
Sb 4.224 0.000 2.111
Au 0.000 0.000 2.111
```

## Properties
**Total moment**: 0.00 Bohr magnetons per cell
**DOS(E_F)**: 0.3264 states/eV/atom

---

Which structure is the least stable? The one labeled i.

---

i.
Ag6SbAu2 | PBE | relaxed

Cell and atoms, written as extended XYZ:
```
18
Lattice="5.934 -4.914 0.000 5.934 4.914 0.000 -1.267 0.000 6.493" Properties=species:S:1:pos:R:3 pbc="T T T"
Ag 4.171 3.681 5.979
Ag 2.552 1.238 2.467
Ag 5.797 3.681 3.761
Ag 3.608 1.061 5.231
Ag 1.919 -1.238 5.713
Ag 4.241 -1.061 1.984
Ag 6.361 1.061 4.510
Ag 8.682 1.238 0.780
Ag 6.994 -1.061 1.263
Ag 4.804 -3.681 2.732
Ag 8.049 -1.238 4.027
Ag 6.431 -3.681 0.515
Sb 5.617 1.475 1.623
Sb 4.984 -1.475 4.870
Au 0.871 1.232 4.753
Au 1.504 -1.232 1.507
Au 9.097 1.232 4.987
Au 9.730 -1.232 1.740
```

## Properties
**Total moment**: 0.00 Bohr magnetons per cell
**DOS(E_F)**: 0.2984 states/eV/atom

---

ii.
Ag6SbAu2 | PBE | relaxed

Cell and atoms, written as extended XYZ:
```
9
Lattice="6.547 -4.460 0.000 6.547 4.460 0.000 -0.657 0.000 2.900" Properties=species:S:1:pos:R:3 pbc="T T T"
Ag 4.089 1.515 0.946
Ag 6.547 3.002 0.000
Ag 4.089 -1.515 0.946
Ag 8.348 1.515 1.955
Ag 6.547 -3.002 0.000
Ag 8.348 -1.515 1.955
Sb 6.547 0.000 0.000
Au 1.718 0.000 1.920
Au 10.719 0.000 0.980
```

## Properties
**Total moment**: 0.00 Bohr magnetons per cell
**DOS(E_F)**: 0.2725 states/eV/atom

---

Which structure is the least stable? The one labeled i.

---

i.
Ag7SbAu4 | PBE | relaxed

Cell and atoms, written as extended XYZ:
```
12
Lattice="5.230 -2.582 0.000 5.230 2.582 0.000 -4.946 0.000 8.968" Properties=species:S:1:pos:R:3 pbc="T T T"
Ag 0.000 0.000 0.000
Ag -1.459 0.000 5.515
Ag -2.323 0.000 8.153
Ag 1.351 0.000 4.895
Ag 4.163 0.000 4.073
Ag 7.836 0.000 0.815
Ag 6.972 0.000 3.454
Sb 5.230 0.000 0.000
Au -0.586 0.000 2.811
Au 2.201 0.000 2.075
Au 3.313 0.000 6.894
Au 6.099 0.000 6.157
```

## Properties
**Total moment**: 0.00 Bohr magnetons per cell
**DOS(E_F)**: 0.2828 states/eV/atom

---

ii.
Ag7SbAu4 | PBE | relaxed

Cell and atoms, written as extended XYZ:
```
12
Lattice="4.718 -2.086 0.000 4.718 2.086 0.000 -3.826 0.000 11.304" Properties=species:S:1:pos:R:3 pbc="T T T"
Ag 0.000 0.000 0.000
Ag -0.926 0.000 2.752
Ag 0.872 0.000 6.663
Ag -0.042 0.000 9.466
Ag 5.653 0.000 1.838
Ag 4.738 0.000 4.641
Ag 6.536 0.000 8.551
Sb -1.913 0.000 5.652
Au 1.879 0.000 3.688
Au 2.827 0.000 0.925
Au 2.783 0.000 10.378
Au 3.732 0.000 7.616
```

## Properties
**Total moment**: 0.00 Bohr magnetons per cell
**DOS(E_F)**: 0.2011 states/eV/atom

---

Which structure is the least stable? The one labeled i.

---

i.
AgSbAu3 | PBE | relaxed

Cell and atoms, written as extended XYZ:
```
5
Lattice="5.206 0.000 0.000 0.000 5.206 0.000 0.000 0.000 5.206" Properties=species:S:1:pos:R:3 pbc="T T T"
Ag 0.000 0.000 0.000
Sb 2.603 2.603 2.603
Au 0.000 2.603 2.603
Au 2.603 0.000 2.603
Au 2.603 2.603 0.000
```

## Properties
**Total moment**: 0.00 Bohr magnetons per cell
**DOS(E_F)**: 0.5698 states/eV/atom

---

ii.
AgSbAu3 | PBE | relaxed

Cell and atoms, written as extended XYZ:
```
5
Lattice="5.052 0.000 0.000 0.000 5.052 0.000 0.000 0.000 5.052" Properties=species:S:1:pos:R:3 pbc="T T T"
Ag 0.000 0.000 0.000
Sb 2.526 2.526 2.526
Au 0.000 0.000 2.526
Au 0.000 2.526 0.000
Au 2.526 0.000 0.000
```

## Properties
**Total moment**: 0.00 Bohr magnetons per cell
**DOS(E_F)**: 0.5794 states/eV/atom

---

Which structure is the least stable? The one labeled ii.

---

i.
Ag2Sb2Au | PBE | relaxed

Cell and atoms, written as extended XYZ:
```
10
Lattice="7.315 0.000 0.000 0.000 7.315 0.000 0.000 0.000 4.159" Properties=species:S:1:pos:R:3 pbc="T T T"
Ag 1.004 2.654 0.000
Ag 2.654 6.311 0.000
Ag 4.662 1.004 0.000
Ag 6.311 4.662 0.000
Sb 1.219 4.876 2.080
Sb 2.439 1.219 2.080
Sb 4.876 6.096 2.080
Sb 6.096 2.439 2.080
Au 0.000 0.000 0.000
Au 3.658 3.658 0.000
```

## Properties
**Total moment**: 0.00 Bohr magnetons per cell
**DOS(E_F)**: 0.4311 states/eV/atom

---

ii.
Ag2Sb2Au | PBE | relaxed

Cell and atoms, written as extended XYZ:
```
5
Lattice="-2.090 2.090 6.998 2.090 -2.090 6.998 2.090 2.090 -6.998" Properties=species:S:1:pos:R:3 pbc="T T T"
Ag 0.000 0.000 1.321
Ag 0.000 0.000 12.676
Sb 2.090 0.000 3.499
Sb 0.000 2.090 3.499
Au 0.000 0.000 6.998
```

## Properties
**Total moment**: 0.00 Bohr magnetons per cell
**DOS(E_F)**: 0.3079 states/eV/atom

---

iii.
Ag2Sb2Au | PBE | relaxed

Cell and atoms, written as extended XYZ:
```
10
Lattice="7.508 0.000 0.000 0.000 7.508 0.000 0.000 0.000 4.198" Properties=species:S:1:pos:R:3 pbc="T T T"
Ag 1.021 2.733 0.000
Ag 2.733 6.487 0.000
Ag 4.775 1.021 0.000
Ag 6.487 4.775 0.000
Sb 1.245 4.999 2.099
Sb 2.509 1.245 2.099
Sb 4.999 6.263 2.099
Sb 6.263 2.509 2.099
Au 0.000 0.000 2.099
Au 3.754 3.754 2.099
```

## Properties
**Total moment**: 0.00 Bohr magnetons per cell
**DOS(E_F)**: 0.3611 states/eV/atom

---

Which structure is the least stable? The one labeled ii.

---

i.
Ag6SbAu5 | PBE | relaxed

Cell and atoms, written as extended XYZ:
```
12
Lattice="4.692 -6.327 0.000 4.692 6.327 0.000 -1.849 0.000 3.749" Properties=species:S:1:pos:R:3 pbc="T T T"
Ag 0.925 2.135 2.794
Ag 1.822 0.000 0.904
Ag 0.925 -2.135 2.794
Ag 6.610 2.135 0.955
Ag 5.713 0.000 2.844
Ag 6.610 -2.135 0.955
Sb 4.692 0.000 0.000
Au -0.925 0.000 1.874
Au 4.692 4.208 0.000
Au 3.767 2.136 1.874
Au 3.767 -2.136 1.874
Au 4.692 -4.208 0.000
```

## Properties
**Total moment**: 0.00 Bohr magnetons per cell
**DOS(E_F)**: 0.3148 states/eV/atom

---

ii.
Ag6SbAu5 | PBE | relaxed

Cell and atoms, written as extended XYZ:
```
12
Lattice="2.580 -4.469 0.000 2.580 4.469 0.000 -1.788 0.000 9.659" Properties=species:S:1:pos:R:3 pbc="T T T"
Ag 0.837 1.499 2.367
Ag -0.065 0.000 7.289
Ag 0.837 -1.499 2.367
Ag 2.535 1.499 7.292
Ag 3.436 0.000 2.370
Ag 2.535 -1.499 7.292
Sb 1.686 0.000 4.829
Au 0.000 0.000 0.000
Au 1.686 2.978 4.829
Au 2.580 1.485 0.000
Au 2.580 -1.485 0.000
Au 1.686 -2.978 4.829
```

## Properties
**Total moment**: 0.00 Bohr magnetons per cell
**DOS(E_F)**: 0.2878 states/eV/atom

---

Which structure is the least stable? The one labeled ii.

---

i.
Sc2AgAu2 | PBE | relaxed

Cell and atoms, written as extended XYZ:
```
10
Lattice="7.662 0.000 0.000 0.000 7.662 0.000 0.000 0.000 3.431" Properties=species:S:1:pos:R:3 pbc="T T T"
Sc 1.268 2.563 0.000
Sc 2.563 6.394 0.000
Sc 5.099 1.268 0.000
Sc 6.394 5.099 0.000
Ag 0.000 0.000 1.716
Ag 3.831 3.831 1.716
Au 1.023 4.854 1.716
Au 2.808 1.023 1.716
Au 4.854 6.639 1.716
Au 6.639 2.808 1.716
```

## Properties
**Total moment**: 0.00 Bohr magnetons per cell
**DOS(E_F)**: 0.8155 states/eV/atom

---

ii.
Sc2AgAu2 | PBE | relaxed

Cell and atoms, written as extended XYZ:
```
10
Lattice="7.913 0.000 0.000 0.000 7.913 0.000 0.000 0.000 3.280" Properties=species:S:1:pos:R:3 pbc="T T T"
Sc 1.238 2.719 0.000
Sc 2.719 6.675 0.000
Sc 5.194 1.238 0.000
Sc 6.675 5.194 0.000
Ag 0.000 0.000 0.000
Ag 3.956 3.956 0.000
Au 1.091 5.047 1.640
Au 2.866 1.091 1.640
Au 5.047 6.822 1.640
Au 6.822 2.866 1.640
```

## Properties
**Total moment**: 0.00 Bohr magnetons per cell
**DOS(E_F)**: 0.7422 states/eV/atom

---

iii.
Sc2AgAu2 | PBE | relaxed

Cell and atoms, written as extended XYZ:
```
5
Lattice="-1.915 1.915 7.423 1.915 -1.915 7.423 1.915 1.915 -7.423" Properties=species:S:1:pos:R:3 pbc="T T T"
Sc 0.000 0.000 1.545
Sc 0.000 0.000 13.300
Ag 0.000 0.000 7.423
Au 1.915 0.000 3.711
Au 0.000 1.915 3.711
```

## Properties
**Total moment**: 0.00 Bohr magnetons per cell
**DOS(E_F)**: 1.1851 states/eV/atom

---

Which structure is the least stable? The one labeled iii.